Here is a relaxed structure of NaAlH2 from Alexandria. Energies are from PBE.

Structure (CIF):
```
data_NaAlH2
_chemical_formula_sum 'Na8 Al8 H16'
_cell_length_a 6.406
_cell_length_b 6.406
_cell_length_c 10.075
_cell_angle_alpha 90.00
_cell_angle_beta 90.00
_cell_angle_gamma 90.00
_space_group_name_H-M_alt 'I 41/a m d'
_space_group_IT_number 141
loop_
_space_group_symop_operation_xyz
'x,y,z'
'-x,-y,-z'
'-y+1/4,x+3/4,z+1/4'
'y+1/4,-x+3/4,-z+1/4'
'-x+1/2,-y,z+1/2'
'x+1/2,y,-z+1/2'
'y+1/4,-x+1/4,z+3/4'
'-y+1/4,x+1/4,-z+3/4'
'x,-y,-z'
'-x,y,z'
'-y+1/4,-x+1/4,-z+3/4'
'y+1/4,x+1/4,z+3/4'
'-x+1/2,y,-z+1/2'
'x+1/2,-y,z+1/2'
'y+1/4,x+3/4,-z+1/4'
'-y+1/4,-x+3/4,z+1/4'
'x+1/2,y+1/2,z+1/2'
'-x+1/2,-y+1/2,-z+1/2'
'-y+3/4,x+1/4,z+3/4'
'y+3/4,-x+1/4,-z+3/4'
'-x,-y+1/2,z'
'x,y+1/2,-z'
'y+3/4,-x+3/4,z+1/4'
'-y+3/4,x+3/4,-z+1/4'
'x+1/2,-y+1/2,-z+1/2'
'-x+1/2,y+1/2,z+1/2'
'-y+3/4,-x+3/4,-z+1/4'
'y+3/4,x+3/4,z+1/4'
'-x,y+1/2,-z'
'x,-y+1/2,z'
'y+3/4,x+1/4,-z+3/4'
'-y+3/4,-x+1/4,z+3/4'
loop_
_atom_site_label
_atom_site_type_symbol
_atom_site_fract_x
_atom_site_fract_y
_atom_site_fract_z
Na1 Na 0.000 0.000 0.000
Al1 Al 0.000 0.000 0.500
H1 H 0.201 0.049 0.375
```

Computed properties:
As for the calculated density: 1.67 g cm⁻³. The value obtained for the total energy is -0.103 hartree per atom. As for the relative energy among the computed polymorphs: 0.92 eV/f.u. The magnetic moment is 0.00 μB per formula unit.